Entry from the Alexandria database: crystalline PmMg2In at its relaxed geometry (GGA-PBE).

Its space group is Cmcm. The formation energy from the elements is -0.2438 eV/atom. The calculation puts the energy above the most stable polymorph in this dataset at 49 meV per atom.

Cell and atoms, written as extended XYZ:
```
8
Lattice="-0.986 -4.688 -1.554 2.530 0.355 -2.675 6.620 -4.132 8.269" Properties=species:S:1:pos:R:3 pbc="T T T"
In 4.644 -6.216 3.568
In 3.520 -2.249 0.473
Pm 7.278 -4.134 3.777
Pm 0.886 -4.331 0.264
Mg 6.671 -7.233 5.349
Mg 1.493 -1.233 -1.309
Mg 3.927 -3.265 3.281
Mg 4.236 -5.200 0.760
```

---

Entry from the Alexandria database: crystalline Rb5NaF6 at its relaxed geometry (GGA-PBE).

As for the uncorrected formation energy: -2.639 eV/atom. Its space group is C2/m.

Cell and atoms, written as extended XYZ:
```
12
Lattice="6.814 0.197 0.000 2.107 6.507 0.000 1.053 3.254 5.926" Properties=species:S:1:pos:R:3 pbc="T T T"
F 2.043 1.517 0.000
F 6.878 5.188 0.000
F 6.744 4.920 4.105
F 4.283 8.292 4.105
F 5.691 1.666 1.822
F 3.230 5.039 1.822
Rb 1.053 3.254 1.976
Rb 4.460 3.352 3.968
Rb 4.460 3.352 0.000
Rb 5.514 6.606 1.958
Rb 2.107 6.507 3.950
Na 0.000 0.000 0.000
```

---

Entry from the Alexandria database: crystalline PmSm2Hf at its relaxed geometry (GGA-PBE).

Its space group is P4/mmm. The formation energy from the elements is 0.1742 eV/atom. The calculation puts the energy above the most stable polymorph in this dataset at 26 meV per atom.

Cell and atoms, written as extended XYZ:
```
4
Lattice="4.940 0.000 0.000 0.000 4.929 0.000 0.000 0.000 4.929" Properties=species:S:1:pos:R:3 pbc="T T T"
Hf 2.470 2.465 2.465
Pm 2.470 0.000 0.000
Sm 0.000 0.000 2.465
Sm 0.000 2.465 0.000
```

---

Entry from the Alexandria database: crystalline HfVNi2Ge at its relaxed geometry (GGA-PBE).

Its space group is P4/mmm. The formation energy from the elements is 1.2930 eV/atom.

Cell and atoms, written as extended XYZ:
```
5
Lattice="4.482 0.000 0.000 0.000 4.978 0.000 0.000 0.000 4.482" Properties=species:S:1:pos:R:3 pbc="T T T"
Ni 2.241 0.000 0.000
Ni 0.000 0.000 2.241
Hf 0.000 0.000 0.000
V 2.241 2.489 2.241
Ge 0.000 2.489 0.000
```

---

Entry from the Alexandria database: crystalline NpSc3Te6 at its relaxed geometry (GGA-PBE).

As for the uncorrected formation energy: -1.057 eV/atom. Its space group is P2_1/m.

Cell and atoms, written as extended XYZ:
```
20
Lattice="4.194 0.000 0.000 0.000 12.077 -0.022 0.000 -4.058 11.619" Properties=species:S:1:pos:R:3 pbc="T T T"
Te 1.048 8.451 6.187
Te 3.145 3.292 7.170
Te 1.048 -2.655 10.519
Te 3.145 6.614 8.715
Te 1.048 3.561 10.894
Te 1.048 1.404 2.881
Te 1.048 4.727 4.426
Te 3.145 7.771 3.182
Te 3.145 4.457 0.702
Te 3.145 -0.433 5.410
Te 3.145 10.674 1.078
Te 1.048 0.247 8.415
Sc 3.145 1.875 9.752
Sc 1.048 1.840 5.765
Sc 1.048 6.143 1.844
Sc 1.048 6.503 10.661
Sc 3.145 1.516 0.935
Sc 3.145 6.178 5.831
Np 3.145 -2.237 8.116
Np 1.048 10.255 3.481
```

---

Entry from the Alexandria database: crystalline Y3TmCd at its relaxed geometry (GGA-PBE).

Its space group is C2/m. The formation energy from the elements is -0.1405 eV/atom. The calculation puts the energy above the most stable polymorph in this dataset at 0 meV per atom.

Cell and atoms, written as extended XYZ:
```
10
Lattice="-0.671 -3.206 -1.606 -0.342 -2.392 4.918 -14.215 4.355 1.386" Properties=species:S:1:pos:R:3 pbc="T T T"
Y -11.200 -0.137 0.808
Y -5.128 -1.328 0.650
Y -4.028 -1.106 3.890
Y -1.575 -0.365 1.387
Y -10.099 0.085 4.049
Y -13.653 -0.878 3.312
Tm -7.385 -2.115 3.165
Tm -7.842 0.872 1.534
Cd -1.738 -3.237 3.045
Cd -13.489 1.994 1.653
```

---

Entry from the Alexandria database: crystalline SrAlAs2 at its relaxed geometry (GGA-PBE).

Its space group is P2/m. The formation energy from the elements is -0.5205 eV/atom.

Cell and atoms, written as extended XYZ:
```
4
Lattice="-3.576 -0.145 1.496 -0.318 -4.301 -1.177 2.351 -1.674 5.457" Properties=species:S:1:pos:R:3 pbc="T T T"
As 0.905 -4.040 1.772
As -0.207 -3.250 -0.810
Al -0.264 -4.554 3.958
Sr -1.280 -1.566 1.818
```

---

Entry from the Alexandria database: crystalline Ta3W at its relaxed geometry (GGA-PBE).

Its space group is P6_3/mmc. The formation energy from the elements is 0.3329 eV/atom.

Cell and atoms, written as extended XYZ:
```
8
Lattice="3.018 2.754 4.021 -4.471 2.578 -2.496 -3.088 -1.871 3.598" Properties=species:S:1:pos:R:3 pbc="T T T"
Ta -3.311 -0.074 2.536
Ta 0.988 2.257 3.826
Ta -5.528 1.204 1.297
Ta -0.509 0.891 1.831
Ta -4.032 2.570 3.292
Ta -1.230 3.535 2.588
W -2.746 2.169 0.576
W -1.794 1.292 4.548
```

---

Entry from the Alexandria database: crystalline K2TaZnSn at its relaxed geometry (GGA-PBE).

Its space group is P4/mmm. The formation energy from the elements is 0.9868 eV/atom.

Cell and atoms, written as extended XYZ:
```
5
Lattice="6.733 0.000 0.000 0.000 5.430 0.000 0.000 0.000 6.733" Properties=species:S:1:pos:R:3 pbc="T T T"
Ta 0.000 2.715 0.000
K 3.366 0.000 0.000
K 0.000 0.000 3.366
Zn 3.366 2.715 3.366
Sn 0.000 0.000 0.000
```

---

Entry from the Alexandria database: crystalline CaLa2In at its relaxed geometry (GGA-PBE).

Its space group is Cm. The formation energy from the elements is -0.2091 eV/atom. The calculation puts the energy above the most stable polymorph in this dataset at 38 meV per atom.

Cell and atoms, written as extended XYZ:
```
4
Lattice="6.551 0.091 0.152 5.407 3.700 0.152 2.182 0.692 5.679" Properties=species:S:1:pos:R:3 pbc="T T T"
Ca 7.193 2.281 2.540
La 10.716 3.398 4.762
La 13.737 4.356 5.755
In 3.702 1.174 1.902
```

---

Entry from the Alexandria database: crystalline TlNi2Pb2 at its relaxed geometry (GGA-PBE).

Its space group is I4/mmm. The formation energy from the elements is 0.3346 eV/atom. The calculation puts the energy above the most stable polymorph in this dataset at 165 meV per atom.

Cell and atoms, written as extended XYZ:
```
5
Lattice="-3.174 1.365 3.292 -3.367 -2.590 -2.173 -2.028 -4.631 3.423" Properties=species:S:1:pos:R:3 pbc="T T T"
Ni -2.982 -1.545 1.224
Ni -5.587 -4.311 3.318
Pb -4.333 -3.917 0.905
Pb -4.236 -1.939 3.637
Tl 0.000 0.000 0.000
```

---

Entry from the Alexandria database: crystalline LiZr2Cr2 at its relaxed geometry (GGA-PBE).

Its space group is P4/mbm. The formation energy from the elements is 0.3436 eV/atom.

Cell and atoms, written as extended XYZ:
```
10
Lattice="-5.933 -3.757 2.407 0.139 -4.158 -6.148 1.960 -2.139 1.491" Properties=species:S:1:pos:R:3 pbc="T T T"
Cr -3.517 -2.631 0.848
Cr -5.285 -5.875 -1.480
Cr -0.508 -2.041 -2.260
Cr -2.276 -5.284 -4.589
Li -2.897 -3.958 -1.870
Li 0.000 0.000 0.000
Zr -0.084 -4.697 -3.060
Zr -0.799 -3.027 0.275
Zr -3.035 -7.028 -2.525
Zr -3.750 -5.357 0.811
```

---

Entry from the Alexandria database: crystalline Hf2TaBe2Rh5 at its relaxed geometry (GGA-PBE).

Its space group is P4/mbm. The formation energy from the elements is -0.8237 eV/atom.

Cell and atoms, written as extended XYZ:
```
20
Lattice="-1.247 -2.461 1.944 0.201 -5.810 -7.228 8.617 -2.555 2.294" Properties=species:S:1:pos:R:3 pbc="T T T"
Rh 1.386 -7.165 -5.252
Rh 7.533 -8.184 -2.598
Rh 3.685 -2.508 2.119
Rh 6.185 -3.662 2.262
Rh 4.361 -4.368 0.198
Rh -0.523 -4.136 -2.642
Rh 1.948 -4.456 -1.462
Rh 0.037 -2.643 -0.393
Rh 5.622 -6.371 -1.528
Rh 3.210 -6.459 -3.189
Ta 4.409 -4.183 -2.467
Ta 0.000 0.000 0.000
Hf 5.974 -6.521 -4.424
Hf 2.843 -1.844 -0.510
Hf 1.635 -4.361 -4.473
Hf 7.182 -4.004 -0.461
Be 3.449 -6.082 -5.488
Be 1.112 -2.514 -2.470
Be 5.368 -2.283 0.554
Be 7.706 -5.852 -2.465
```

---

Entry from the Alexandria database: crystalline TlP2Au at its relaxed geometry (GGA-PBE).

Its space group is P4mm. The formation energy from the elements is 0.1668 eV/atom. The calculation puts the energy above the most stable polymorph in this dataset at 197 meV per atom.

Cell and atoms, written as extended XYZ:
```
4
Lattice="3.296 0.000 0.000 0.000 3.296 0.000 0.000 0.000 7.645" Properties=species:S:1:pos:R:3 pbc="T T T"
P 0.000 0.000 1.159
P 1.648 1.648 0.563
Au 1.648 1.648 5.807
Tl 0.000 0.000 3.939
```

---

Entry from the Alexandria database: crystalline PmDy2Ho6Sc at its relaxed geometry (GGA-PBE).

Its space group is C2/c. The formation energy from the elements is 0.1276 eV/atom.

Cell and atoms, written as extended XYZ:
```
20
Lattice="-2.959 7.995 3.901 -5.782 -4.858 4.264 7.944 0.633 3.421" Properties=species:S:1:pos:R:3 pbc="T T T"
Ho 2.399 5.833 4.638
Ho 4.194 2.895 5.776
Ho -3.195 -2.063 6.947
Ho -1.759 0.788 4.673
Ho -4.990 0.875 5.810
Ho 2.968 4.992 8.428
Ho -3.764 -1.222 3.158
Ho -5.873 3.457 8.254
Ho -0.264 5.975 6.440
Ho 0.963 2.982 6.913
Ho 5.077 0.313 3.332
Ho -0.532 -2.206 5.145
Dy -0.436 0.174 7.536
Dy -0.490 4.742 9.398
Dy -0.306 -0.972 2.187
Dy -0.360 3.596 4.050
Sc 1.526 0.360 4.745
Sc -2.322 3.410 6.841
Pm -6.197 -2.730 5.220
Pm 5.401 6.499 6.366
```

---

Entry from the Alexandria database: crystalline Sm6Ge2SbS3 at its relaxed geometry (GGA-PBE).

As for the uncorrected formation energy: -1.496 eV/atom. Its space group is C2/m.

Cell and atoms, written as extended XYZ:
```
12
Lattice="-1.106 4.024 -0.403 -8.064 -2.178 0.392 2.642 -0.565 8.930" Properties=species:S:1:pos:R:3 pbc="T T T"
S -0.498 2.618 5.704
S -4.585 0.923 -0.005
S -6.030 -1.336 3.215
Sb -0.553 2.012 -0.201
Sm -4.561 1.226 2.952
Sm -2.133 -0.573 0.132
Sm -1.967 0.056 5.967
Sm -5.967 -1.033 6.077
Sm -4.396 1.855 8.787
Sm -0.561 2.314 2.842
Ge -4.529 1.527 5.876
Ge -1.999 -0.245 3.043
```

---

Entry from the Alexandria database: crystalline SrAc2Ag2Pb2 at its relaxed geometry (GGA-PBE).

Its space group is R-3m. The formation energy from the elements is -0.2796 eV/atom.

Cell and atoms, written as extended XYZ:
```
7
Lattice="5.155 0.000 0.000 2.578 4.465 0.000 2.578 1.488 9.870" Properties=species:S:1:pos:R:3 pbc="T T T"
Sr 0.000 0.000 0.000
Ag 5.155 2.976 7.084
Ag 5.155 2.976 2.786
Pb 2.578 1.488 2.085
Pb 7.733 4.465 7.786
Ac 7.733 4.465 3.977
Ac 2.578 1.488 5.893
```

---

Entry from the Alexandria database: crystalline Cd4InHg7 at its relaxed geometry (GGA-PBE).

Its space group is P-3m1. The formation energy from the elements is 0.0297 eV/atom. The calculation puts the energy above the most stable polymorph in this dataset at 8 meV per atom.

Cell and atoms, written as extended XYZ:
```
12
Lattice="4.292 0.000 0.000 -2.146 3.717 0.000 0.000 0.000 20.768" Properties=species:S:1:pos:R:3 pbc="T T T"
Hg 0.000 0.000 5.218
Hg 0.000 0.000 0.000
Hg 2.146 1.239 17.342
Hg 2.146 1.239 12.165
Hg 0.000 0.000 15.549
Hg 0.000 2.478 8.602
Hg 0.000 2.478 3.426
Cd 2.146 1.239 6.915
Cd 0.000 2.478 19.081
Cd 0.000 2.478 13.853
Cd 2.146 1.239 1.687
In 0.000 0.000 10.384
```

---

Entry from the Alexandria database: crystalline Cr2RhBr at its relaxed geometry (GGA-PBE).

As for the uncorrected formation energy: 0.331 eV/atom. Its space group is P4mm. The calculation puts the energy above the most stable polymorph in this dataset at 0 meV per atom.

Cell and atoms, written as extended XYZ:
```
4
Lattice="3.137 0.000 0.000 0.000 3.137 0.000 0.000 0.000 6.806" Properties=species:S:1:pos:R:3 pbc="T T T"
Rh 0.000 0.000 2.953
Cr 1.568 1.568 1.747
Cr 0.000 0.000 0.223
Br 1.568 1.568 5.286
```

---

Entry from the Alexandria database: crystalline CaPaTl2Se4 at its relaxed geometry (GGA-PBE).

As for the uncorrected formation energy: -1.191 eV/atom. Its space group is P2/m.

Cell and atoms, written as extended XYZ:
```
8
Lattice="-3.951 1.063 -1.143 -1.127 -6.840 -2.470 -2.224 0.146 7.828" Properties=species:S:1:pos:R:3 pbc="T T T"
Se -2.051 -1.597 5.606
Se -1.300 -5.097 -0.248
Se -2.686 -0.971 0.486
Se -4.616 -4.659 3.729
Ca -2.539 -2.888 -1.806
Pa 0.000 0.000 0.000
Tl -1.676 -3.347 2.679
Tl -3.088 0.605 3.343
```

---

Entry from the Alexandria database: crystalline TaCuBr2 at its relaxed geometry (GGA-PBE).

As for the uncorrected formation energy: 0.644 eV/atom. Its space group is I4/mmm. The calculation puts the energy above the most stable polymorph in this dataset at 780 meV per atom.

Cell and atoms, written as extended XYZ:
```
4
Lattice="4.855 -0.022 0.000 0.896 4.772 0.000 -2.875 -2.375 3.109" Properties=species:S:1:pos:R:3 pbc="T T T"
Br 0.000 0.000 0.000
Br 2.875 2.375 0.000
Cu 0.448 2.386 1.554
Ta 2.427 -0.011 1.554
```

---

Entry from the Alexandria database: crystalline TlB3Se at its relaxed geometry (GGA-PBE).

As for the uncorrected formation energy: 1.917 eV/atom. Its space group is Pm-3m. The calculation puts the energy above the most stable polymorph in this dataset at 0 meV per atom.

Cell and atoms, written as extended XYZ:
```
5
Lattice="-3.791 -0.454 -1.859 -1.846 -0.216 3.818 -0.503 4.217 -0.005" Properties=species:S:1:pos:R:3 pbc="T T T"
B -0.251 2.108 -0.002
B -1.895 -0.227 -0.930
B -0.923 -0.108 1.909
Se 0.000 0.000 0.000
Tl -3.070 1.773 0.977
```

---

Entry from the Alexandria database: crystalline CaHBr3 at its relaxed geometry (GGA-PBE).

Its space group is Pm-3m. The calculation puts the energy above the most stable polymorph in this dataset at 0 meV per atom.

Cell and atoms, written as extended XYZ:
```
5
Lattice="-3.333 -3.062 -1.726 3.480 -2.543 -2.210 0.491 -2.760 3.949" Properties=species:S:1:pos:R:3 pbc="T T T"
H 0.000 0.000 0.000
Br -1.666 -1.531 -0.863
Br 0.245 -1.380 1.975
Br 1.740 -1.271 -1.105
Ca 0.319 -4.182 0.007
```

---

Entry from the Alexandria database: crystalline LaPm2Al at its relaxed geometry (GGA-PBE).

Its space group is Fm-3m. The formation energy from the elements is -0.0094 eV/atom. The calculation puts the energy above the most stable polymorph in this dataset at 175 meV per atom.

Cell and atoms, written as extended XYZ:
```
4
Lattice="-2.111 -1.798 4.747 0.651 -5.253 1.484 3.333 -1.283 4.180" Properties=species:S:1:pos:R:3 pbc="T T T"
Pm 1.405 -6.251 7.808
Pm 0.468 -2.084 2.603
La 0.000 0.000 0.000
Al 0.937 -4.167 5.205
```